No. 1
Density functional theory data (PBE-GGA) for Pu4BiTe3 after structural relaxation.

Values from the calculation:
The formation energy without anion corrections is -866 meV/atom. The total energy is -77.56 eV/f.u. The calculation puts the density at 10.3 g/cm³.

a = 7.7466 Å, b = 7.7466 Å, c = 7.7466 Å
α = 131.99°, β = 131.99°, γ = 70.25°
Last column: nearest neighbours and their distance in Å.
Sites, in units of the cell vectors:
Pu 0.0000 0.5000 0.5000  2 Bi 3.15, 4 Te 3.15-3.17
Pu 0.2482 0.2482 0.0000  5 Te 3.15, 1 Bi 3.19
Pu 0.5000 0.0000 0.5000  2 Bi 3.15, 4 Te 3.15-3.17
Pu 0.7518 0.7518 0.0000  5 Te 3.15, 1 Bi 3.19
Bi 0.5000 0.5000 0.0000  6 Pu 3.15-3.19
Te 0.0000 0.0000 0.0000  6 Pu 3.15
Te 0.2500 0.7500 0.5000  6 Pu 3.15-3.17
Te 0.7500 0.2500 0.5000  6 Pu 3.15-3.17

=====

No. 2
Density functional theory data (PBE-GGA) for Sm2HSe3 after structural relaxation.

Values from the calculation:
The total energy is -31.64 eV/f.u. The calculation puts the density at 6.8 g/cm³.

a = 11.0682 Å, b = 3.9947 Å, c = 11.8431 Å
α = 90.00°, β = 90.00°, γ = 90.00°
Last column: nearest neighbours and their distance in Å.
Sites, in units of the cell vectors:
Sm 0.0461 0.2500 0.1741  2 H 2.31
Sm 0.1949 0.2500 0.5126  1 H 2.29
Sm 0.3051 0.7500 0.0126  1 H 2.29
Sm 0.4539 0.7500 0.6741  2 H 2.31
Sm 0.5461 0.2500 0.3259  2 H 2.31
Sm 0.6949 0.2500 0.9874  1 H 2.29
Sm 0.8051 0.7500 0.4874  1 H 2.29
Sm 0.9539 0.7500 0.8259  2 H 2.31
H 0.1345 0.7500 0.1214  3 Sm 2.29-2.31
H 0.3655 0.2500 0.6214  3 Sm 2.29-2.31
H 0.6345 0.7500 0.3786  3 Sm 2.29-2.31
H 0.8655 0.2500 0.8786  3 Sm 2.29-2.31
Se 0.0601 0.7500 0.3718  5 Sm 3.00-3.14, 1 H 3.08
Se 0.1230 0.2500 0.9330  3 H 2.92-3.00, 5 Sm 2.98-3.02
Se 0.1869 0.7500 0.6957  2 H 2.95, 4 Sm 2.95-3.00
Se 0.3131 0.2500 0.1957  2 H 2.95, 4 Sm 2.95-3.00
Se 0.3770 0.7500 0.4330  3 H 2.92-3.00, 5 Sm 2.98-3.02
Se 0.4399 0.2500 0.8718  5 Sm 3.00-3.14, 1 H 3.08
Se 0.5601 0.7500 0.1282  5 Sm 3.00-3.14, 1 H 3.08
Se 0.6230 0.2500 0.5670  3 H 2.92-3.00, 5 Sm 2.98-3.02
Se 0.6869 0.7500 0.8043  2 H 2.95, 4 Sm 2.95-3.00
Se 0.8131 0.2500 0.3043  2 H 2.95, 4 Sm 2.95-3.00
Se 0.8770 0.7500 0.0670  3 H 2.92-3.00, 5 Sm 2.98-3.02
Se 0.9399 0.2500 0.6282  5 Sm 3.00-3.14, 1 H 3.08

=====

No. 3
Density functional theory data (PBE-GGA) for NiRhC after structural relaxation.

Values from the calculation:
The value obtained for the formation energy is 1.16 eV/f.u. The total energy is -21.19 eV/f.u. The calculation puts the density at 9.0 g/cm³.

a = 2.8921 Å, b = 4.3457 Å, c = 4.3457 Å
α = 35.94°, β = 90.00°, γ = 90.00°
Last column: nearest neighbours and their distance in Å.
Sites, in units of the cell vectors:
Ni 0.0000 0.0000 0.0000  2 C 1.91
Rh 0.5000 0.7360 0.7360  4 C 2.14
C 0.0000 0.3352 0.3352  2 Ni 1.91, 4 Rh 2.14

=====

No. 4
Density functional theory data (PBE-GGA) for SrCaLa2 after structural relaxation.

Values from the calculation:
The value obtained for the formation energy is 0.45 eV/f.u. The total energy is -13.09 eV/f.u. The calculation puts the density at 4.1 g/cm³.

a = 13.1481 Å, b = 13.1481 Å, c = 13.1481 Å
α = 16.77°, β = 16.77°, γ = 16.77°
Last column: nearest neighbours and their distance in Å.
Sites, in units of the cell vectors:
Sr 0.0000 0.0000 0.0000  6 Sr 3.83, 6 La 4.01
Ca 0.5000 0.5000 0.5000  6 Ca 3.83, 6 La 3.84
La 0.2474 0.2474 0.2474  6 La 3.83, 3 Ca 3.84, 3 Sr 4.01
La 0.7526 0.7526 0.7526  6 La 3.83, 3 Ca 3.84, 3 Sr 4.01